[1]
# CuHgN (PBE, relaxed)
data_CuHgN
_cell_length_a 3.918
_cell_length_b 5.594
_cell_length_c 5.561
_cell_angle_alpha 62.95
_cell_angle_beta 89.95
_cell_angle_gamma 110.54
_symmetry_space_group_name_H-M 'P 1'
_symmetry_Int_Tables_number 1
loop_
_symmetry_equiv_pos_as_xyz
'x,y,z'
loop_
_atom_site_label
_atom_site_fract_x
_atom_site_fract_y
_atom_site_fract_z
Hg1 0.813 0.627 0.173
Hg2 0.187 0.373 0.827
Cu1 0.498 0.997 0.781
Cu2 0.502 0.003 0.219
N1 0.153 0.000 0.500
N2 0.847 0.000 0.500
# DOS at the Fermi energy: 2.324 states/eV/cell
# ρ: 9.26 g cm⁻³
# Total energy: -3.87 eV/atom
# SG: No. 12


[2]
# RbIn2Hg2 (PBE, relaxed)
data_RbIn2Hg2
_cell_length_a 7.726
_cell_length_b 7.519
_cell_length_c 8.132
_cell_angle_alpha 75.79
_cell_angle_beta 61.58
_cell_angle_gamma 59.10
_symmetry_space_group_name_H-M 'P 1'
_symmetry_Int_Tables_number 1
loop_
_symmetry_equiv_pos_as_xyz
'x,y,z'
loop_
_atom_site_label
_atom_site_fract_x
_atom_site_fract_y
_atom_site_fract_z
In1 0.270 0.753 0.462
In2 0.478 0.754 0.036
In3 0.730 0.247 0.538
In4 0.522 0.246 0.964
Rb1 0.874 0.752 0.251
Rb2 0.126 0.248 0.749
Hg1 0.583 0.337 0.249
Hg2 0.837 0.829 0.751
Hg3 0.163 0.171 0.249
Hg4 0.417 0.663 0.751
# E above lowest polymorph: 35.8 meV/atom
# DOS at the Fermi energy: 4.325 states/eV/cell
# ρ: 6.67 g cm⁻³
# Energy of formation from the pure elements: -105.3 meV per atom
# Total energy: -1.51 eV/atom
# SG: No. 2


[3]
# ReSb2TeIr (PBE, relaxed)
data_ReSb2TeIr
_cell_length_a 5.053
_cell_length_b 5.053
_cell_length_c 5.311
_cell_angle_alpha 90.00
_cell_angle_beta 90.00
_cell_angle_gamma 90.00
_symmetry_space_group_name_H-M 'P 1'
_symmetry_Int_Tables_number 1
loop_
_symmetry_equiv_pos_as_xyz
'x,y,z'
loop_
_atom_site_label
_atom_site_fract_x
_atom_site_fract_y
_atom_site_fract_z
Ir1 0.000 0.000 0.000
Sb1 0.500 0.000 0.000
Sb2 0.000 0.500 0.000
Te1 0.000 0.000 0.500
Re1 0.500 0.500 0.500
# E above lowest polymorph: 280.4 meV/atom
# DOS at the Fermi energy: 3.934 states/eV/cell
# ρ: 9.18 g cm⁻³
# Total energy: -5.13 eV/atom
# SG: No. 123


[4]
# Tl3CdHg (PBE, relaxed)
data_Tl3CdHg
_cell_length_a 6.122
_cell_length_b 6.388
_cell_length_c 15.263
_cell_angle_alpha 90.00
_cell_angle_beta 100.86
_cell_angle_gamma 90.00
_symmetry_space_group_name_H-M 'P 1'
_symmetry_Int_Tables_number 1
loop_
_symmetry_equiv_pos_as_xyz
'x,y,z'
loop_
_atom_site_label
_atom_site_fract_x
_atom_site_fract_y
_atom_site_fract_z
Hg1 0.693 0.006 0.698
Hg2 0.693 0.994 0.198
Hg3 0.307 0.994 0.302
Hg4 0.307 0.006 0.802
Cd1 0.071 0.788 0.626
Cd2 0.929 0.788 0.874
Cd3 0.929 0.212 0.374
Cd4 0.071 0.212 0.126
Tl1 0.573 0.246 0.492
Tl2 0.707 0.495 0.696
Tl3 0.573 0.754 0.992
Tl4 0.427 0.754 0.508
Tl5 0.427 0.246 0.008
Tl6 0.707 0.505 0.196
Tl7 0.869 0.720 0.412
Tl8 0.131 0.720 0.088
Tl9 0.131 0.280 0.588
Tl10 0.293 0.495 0.804
Tl11 0.869 0.280 0.912
Tl12 0.293 0.505 0.304
# E above lowest polymorph: 0.0 meV/atom
# DOS at the Fermi energy: 7.585 states/eV/cell
# ρ: 10.49 g cm⁻³
# Energy of formation from the pure elements: 34.5 meV per atom
# Total energy: -1.63 eV/atom
# SG: No. 13


[5]
# K3PaGa2O8 (PBE, relaxed)
data_K3PaGa2O8
_cell_length_a 6.026
_cell_length_b 6.026
_cell_length_c 7.812
_cell_angle_alpha 90.00
_cell_angle_beta 90.00
_cell_angle_gamma 120.00
_symmetry_space_group_name_H-M 'P 1'
_symmetry_Int_Tables_number 1
loop_
_symmetry_equiv_pos_as_xyz
'x,y,z'
loop_
_atom_site_label
_atom_site_fract_x
_atom_site_fract_y
_atom_site_fract_z
O1 0.167 0.833 0.336
O2 0.665 0.833 0.336
O3 0.333 0.667 0.014
O4 0.667 0.333 0.986
O5 0.167 0.335 0.336
O6 0.833 0.167 0.664
O7 0.335 0.167 0.664
O8 0.833 0.665 0.664
K1 0.667 0.333 0.319
K2 0.333 0.667 0.681
K3 0.000 0.000 0.000
Ga1 0.333 0.667 0.249
Ga2 0.667 0.333 0.751
Pa1 0.000 0.000 0.500
# DOS at the Fermi energy: 10.616 states/eV/cell
# ρ: 4.16 g cm⁻³
# Total energy: -6.18 eV/atom
# SG: No. 164


[6]
# CrTcN2 (PBE, relaxed)
data_CrTcN2
_cell_length_a 6.597
_cell_length_b 6.597
_cell_length_c 6.597
_cell_angle_alpha 23.66
_cell_angle_beta 23.66
_cell_angle_gamma 23.66
_symmetry_space_group_name_H-M 'P 1'
_symmetry_Int_Tables_number 1
loop_
_symmetry_equiv_pos_as_xyz
'x,y,z'
loop_
_atom_site_label
_atom_site_fract_x
_atom_site_fract_y
_atom_site_fract_z
Cr1 0.500 0.500 0.500
N1 0.105 0.105 0.105
N2 0.895 0.895 0.895
Tc1 0.000 0.000 0.000
# E above lowest polymorph: 293.1 meV/atom
# DOS at the Fermi energy: 3.409 states/eV/cell
# ρ: 7.27 g cm⁻³
# Total energy: -9.05 eV/atom
# SG: No. 166